{"formula": "CaScGa", "functional": "GGA-PBE", "state": "optimized geometry", "magmom_total_mub_per_cell": 0.00, "dos_at_fermi_per_ev_cell": 4.83, "formation_enthalpy_0k_kj_per_mol_atoms": -31, "lattice": [[-3.1026, 3.9320, 3.0605], [3.1026, -3.9320, 3.0605], [3.1026, 3.9320, -3.0605]], "species": ["Ca", "Ca", "Sc", "Sc", "Ga", "Ga"], "fractional_positions": [[0.1374, 0.2500, 0.3874], [0.8626, 0.7500, 0.6126], [0.0022, 0.5015, 0.0008], [0.5007, 0.0015, 0.9992], [0.5021, 0.0021, 0.5000], [0.5021, 0.5021, 0.0000]]}